1.
Density functional theory data (GGA-PBE) for Ho4InSi after structural relaxation.

Properties
energy relative to the elements, uncorrected = -0.44 eV/atom
magnetic moment = 0.0 μB/cell
energy relative to the lowest polymorph listed for this composition = 0.0000 eV per atom
final energy = -58.169 eV for the cell shown
ρ = 8.33 Mg/m³

Unit cell a=5.7051 b=6.6566 c=8.5418 alpha=90.00 beta=99.37 gamma=90.00
Closest atoms and distances in Å follow each position.
Fractional positions:
Ho1 0.1535 0.2500 0.0530  2 Si 2.84-3.08, 1 In 3.10
Ho2 0.1889 0.7500 0.3611  1 Si 3.03, 3 In 3.28-3.37
Ho3 0.3349 0.5076 0.7490  2 Si 2.90-2.95, 1 Ho 3.23
Ho4 0.3349 0.9924 0.7490  2 Si 2.90-2.95, 1 Ho 3.23
Ho5 0.6651 0.0076 0.2510  2 Si 2.90-2.95, 1 Ho 3.23
Ho6 0.6651 0.4924 0.2510  2 Si 2.90-2.95, 1 Ho 3.23
Ho7 0.8111 0.2500 0.6389  1 Si 3.03, 3 In 3.28-3.37
Ho8 0.8465 0.7500 0.9470  2 Si 2.84-3.08, 1 In 3.10
In1 0.2346 0.2500 0.4210  8 Ho 3.10-3.45
In2 0.7654 0.7500 0.5790  8 Ho 3.10-3.45
Si1 0.3476 0.7500 0.0399  7 Ho 2.84-3.08
Si2 0.6524 0.2500 0.9601  7 Ho 2.84-3.08

=====

2.
Density functional theory data (GGA-PBE) for CuSn2CI after structural relaxation.

Properties
energy relative to the elements, uncorrected = 1.16 eV/atom
magnetic moment = 0.0 μB/cell
final energy = -17.082 eV for the cell shown
ρ = 6.36 Mg/m³

Unit cell a=4.8122 b=4.8122 c=4.9629 alpha=90.00 beta=90.00 gamma=90.00
Closest atoms and distances in Å follow each position.
Fractional positions:
Cu1 0.0000 0.0000 0.0000  4 I 3.40, 8 Sn 3.46
Sn1 0.0000 0.5000 0.5000  2 C 2.41
Sn2 0.5000 0.0000 0.5000  2 C 2.41
C1 0.5000 0.5000 0.5000  4 Sn 2.41, 2 I 2.48
I1 0.5000 0.5000 0.0000  2 C 2.48

=====

3.
Density functional theory data (GGA-PBE) for Li2TbAlAu4 after structural relaxation.

Properties
magnetic moment = 0.0 μB/cell
ΔE_f = -60.6 kJ per mole of atoms
final energy = -30.337 eV for the cell shown
ρ = 11.30 Mg/m³

Unit cell a=8.7253 b=8.7253 c=8.7253 alpha=29.79 beta=29.79 gamma=29.79
Closest atoms and distances in Å follow each position.
Fractional positions:
Li1 0.2414 0.2414 0.2414  7 Au 2.69-2.78
Li2 0.7586 0.7586 0.7586  7 Au 2.69-2.78
Tb1 0.0000 0.0000 0.0000  8 Au 3.02-3.26
Al1 0.5000 0.5000 0.5000  8 Au 2.61-2.74
Au1 0.1304 0.1304 0.1304  3 Al 2.74, 4 Li 2.76-2.78
Au2 0.3954 0.3954 0.3954  1 Al 2.61, 3 Li 2.69
Au3 0.6046 0.6046 0.6046  1 Al 2.61, 3 Li 2.69
Au4 0.8696 0.8696 0.8696  3 Al 2.74, 4 Li 2.76-2.78

=====

4.
Density functional theory data (GGA-PBE) for La5Si2H2 after structural relaxation.

Properties
magnetic moment = 0.0 μB/cell
final energy = -93.065 eV for the cell shown
ρ = 5.53 Mg/m³

Unit cell a=11.2970 b=11.2970 c=11.2970 alpha=49.08 beta=145.18 gamma=146.52
Closest atoms and distances in Å follow each position.
Fractional positions:
La1 0.2080 0.3965 0.1138  1 H 2.41
La2 0.2080 0.5943 0.3116  1 H 2.41
La3 0.2479 0.0099 0.2577  2 H 2.35
La4 0.2479 0.4901 0.7380  2 H 2.35
La5 0.2827 0.0943 0.8862  1 H 2.41
La6 0.2827 0.8965 0.6884  1 H 2.41
La7 0.6748 0.4907 0.6841  2 H 2.40-2.41
La8 0.7521 0.5099 0.2620  2 H 2.35
La9 0.7521 0.9901 0.7423  2 H 2.35
La10 0.8066 0.9907 0.3159  2 H 2.40-2.41
Si1 0.7219 0.1423 0.3702  8 La 3.05-3.40
Si2 0.7219 0.8517 0.0796  8 La 3.05-3.40
Si3 0.7721 0.3517 0.6298  8 La 3.05-3.40
Si4 0.7721 0.6423 0.9204  8 La 3.05-3.40
H1 0.0056 0.8585 0.6471  4 La 2.40-2.41
H2 0.2114 0.3585 0.3529  4 La 2.40-2.41
H3 0.2523 0.2523 0.0000  4 La 2.35
H4 0.2523 0.7523 0.5000  4 La 2.35

=====

5.
Density functional theory data (GGA-PBE) for BRh2I after structural relaxation.

Properties
energy relative to the elements, uncorrected = 0.97 eV/atom
magnetic moment = 0.0 μB/cell
energy relative to the lowest polymorph listed for this composition = 0.7456 eV per atom
final energy = -19.044 eV for the cell shown
ρ = 9.48 Mg/m³

Unit cell a=4.3989 b=4.3989 c=4.3989 alpha=60.00 beta=60.00 gamma=60.00
Closest atoms and distances in Å follow each position.
Fractional positions:
B1 0.0000 0.0000 0.0000  8 Rh 2.69
Rh1 0.2500 0.2500 0.2500  4 I 2.69, 4 B 2.69
Rh2 0.7500 0.7500 0.7500  4 B 2.69, 4 I 2.69
I1 0.5000 0.5000 0.5000  8 Rh 2.69

=====

6.
Density functional theory data (GGA-PBE) for Nd2Dy3Tm5 after structural relaxation.

Properties
magnetic moment = 0.0 μB/cell
ΔE_f = 18.8 kJ per mole of atoms
energy relative to the lowest polymorph listed for this composition = 0.0000 eV per atom
final energy = -87.494 eV for the cell shown
ρ = 8.34 Mg/m³

Unit cell a=9.4925 b=9.4925 c=9.3662 alpha=108.13 beta=108.13 gamma=112.59
Closest atoms and distances in Å follow each position.
Fractional positions:
Nd1 0.0156 0.2720 0.0470  3 Dy 3.12-3.47, 4 Tm 3.26-3.47
Nd2 0.2720 0.0156 0.5470  3 Dy 3.12-3.47, 4 Tm 3.26-3.47
Nd3 0.7280 0.9844 0.4530  3 Dy 3.12-3.47, 4 Tm 3.26-3.47
Nd4 0.9844 0.7280 0.9530  3 Dy 3.12-3.47, 4 Tm 3.26-3.47
Dy1 0.0208 0.9792 0.7500  4 Nd 3.29-3.47, 3 Tm 3.30-3.51, 2 Dy 3.42
Dy2 0.2215 0.4683 0.4493  1 Nd 3.12, 6 Tm 3.29-3.49, 1 Dy 3.42
Dy3 0.4683 0.2215 0.9493  1 Nd 3.12, 6 Tm 3.29-3.49, 1 Dy 3.42
Dy4 0.5317 0.7785 0.0507  1 Nd 3.12, 6 Tm 3.29-3.49, 1 Dy 3.42
Dy5 0.7785 0.5317 0.5507  1 Nd 3.12, 6 Tm 3.29-3.49, 1 Dy 3.42
Dy6 0.9792 0.0208 0.2500  4 Nd 3.29-3.47, 3 Tm 3.30-3.51, 2 Dy 3.42
Tm1 0.1404 0.3870 0.7711  3 Dy 3.43-3.57, 2 Nd 3.46-3.60, 3 Tm 3.49-3.58
Tm2 0.2300 0.7700 0.7500  5 Dy 3.29-3.45, 2 Nd 3.42, 2 Tm 3.49
Tm3 0.2741 0.7259 0.2500  1 Tm 3.17, 4 Nd 3.26-3.47, 2 Dy 3.49
Tm4 0.3870 0.1404 0.2711  3 Dy 3.43-3.57, 2 Nd 3.46-3.60, 3 Tm 3.49-3.58
Tm5 0.4749 0.5251 0.2500  3 Tm 3.17-3.50, 4 Dy 3.31-3.46, 2 Nd 3.51
Tm6 0.5251 0.4749 0.7500  3 Tm 3.17-3.50, 4 Dy 3.31-3.46, 2 Nd 3.51
Tm7 0.6130 0.8596 0.7289  3 Dy 3.43-3.57, 2 Nd 3.46-3.60, 3 Tm 3.49-3.58
Tm8 0.7259 0.2741 0.7500  1 Tm 3.17, 4 Nd 3.26-3.47, 2 Dy 3.49
Tm9 0.7700 0.2300 0.2500  5 Dy 3.29-3.45, 2 Nd 3.42, 2 Tm 3.49
Tm10 0.8596 0.6130 0.2289  3 Dy 3.43-3.57, 2 Nd 3.46-3.60, 3 Tm 3.49-3.58